Density functional theory data (PBE-GGA) for an optimized crystal structure of ZrTiAu5.

The structure in extended XYZ format:
```
14
Lattice="5.014 0.000 0.000 0.185 5.032 0.000 2.143 1.109 10.510" Properties=species:S:1:pos:R:3 pbc="T T T"
Zr 0.000 0.000 0.000
Zr 3.571 0.557 5.248
Ti 1.313 2.619 2.139
Ti 6.026 3.521 8.365
Au 1.125 1.856 4.757
Au 2.064 0.990 7.675
Au 3.505 3.611 9.746
Au 2.681 5.095 1.493
Au 3.709 3.162 6.844
Au 3.623 2.985 3.658
Au 4.662 1.047 9.016
Au 3.834 2.530 0.758
Au 5.279 5.152 2.834
Au 6.202 4.298 5.753
```

Properties
* space-group type: P1, No. 1
* DFT formation energy: -0.34 eV/atom
* E: -5.03 eV/atom